VASP calculation (GGA-PBE) on crystalline Ac2CdCuIr at its relaxed geometry.

## Properties
Symmetry ... P2_1/m
Magnetic moment ... 0.000 μB per cell
DFT total energy ... -4.73 eV per atom
Calculated density ... 9.11 Mg/m³
Energy relative to the elements ... -152 kJ/mol of formula units

Lattice parameters (Å, degrees): 4.4356 7.5594 9.2973 105.90 90.00 90.00
With the nearest neighbours (Å) after each atom.
Fractional positions:
Ac1 0.2500 0.1991 0.3896  2 Ir 2.93
Ac2 0.7500 0.8009 0.6104  2 Ir 2.93
Ac3 0.2500 0.2317 0.9762  3 Ir 2.98-3.03
Ac4 0.7500 0.7683 0.0238  3 Ir 2.98-3.03
Ir1 0.2500 0.8305 0.8216  1 Cu 2.44
Ir2 0.7500 0.1695 0.1784  1 Cu 2.44
Cd1 0.2500 0.7006 0.3047  2 Cu 2.63
Cd2 0.7500 0.2994 0.6953  2 Cu 2.63
Cu1 0.2500 0.4950 0.7340  1 Ir 2.44, 2 Cd 2.63
Cu2 0.7500 0.5050 0.2660  1 Ir 2.44, 2 Cd 2.63

---

VASP calculation (GGA-PBE) on crystalline TlGa2P at its relaxed geometry.

## Properties
Symmetry ... Fm-3m
Distance to the lowest polymorph of the same formula ... 216 meV/atom
Magnetic moment ... 0.000 μB per cell
DFT total energy ... -3.17 eV per atom
Calculated density ... 7.26 Mg/m³
Energy relative to the elements ... 111 kJ/mol of formula units

Lattice parameters (Å, degrees): 4.9487 4.9487 4.9487 60.00 60.00 60.00
With the nearest neighbours (Å) after each atom.
Fractional positions:
P1 0.0000 0.0000 0.0000  8 Ga 3.03
Ga1 0.7500 0.7500 0.7500  4 Tl 3.03, 4 P 3.03
Ga2 0.2500 0.2500 0.2500  4 Tl 3.03, 4 P 3.03
Tl1 0.5000 0.5000 0.5000  8 Ga 3.03

---

VASP calculation (GGA-PBE) on crystalline CoAgMo2 at its relaxed geometry.

## Properties
Symmetry ... R3m
Distance to the lowest polymorph of the same formula ... 106 meV/atom
Magnetic moment ... 0.990 μB per cell
DFT total energy ... -7.51 eV per atom
Calculated density ... 9.78 Mg/m³
Energy relative to the elements ... 152 kJ/mol of formula units

Lattice parameters (Å, degrees): 9.3978 9.3978 9.3978 16.86 16.86 16.86
With the nearest neighbours (Å) after each atom.
Fractional positions:
Ag1 0.4950 0.4950 0.4950  6 Ag 2.76, 3 Co 2.78, 3 Mo 2.98
Mo1 0.2522 0.2522 0.2522  9 Mo 2.76-2.91, 3 Ag 2.98
Mo2 0.0067 0.0067 0.0067  3 Co 2.57, 6 Mo 2.76
Co1 0.7461 0.7461 0.7461  3 Mo 2.57, 6 Co 2.76, 3 Ag 2.78

---

VASP calculation (GGA-PBE) on crystalline AgPd6Pb12 at its relaxed geometry.

## Properties
Symmetry ... R-3
Magnetic moment ... 0.000 μB per cell
DFT total energy ... -4.23 eV per atom
Calculated density ... 10.24 Mg/m³
Energy relative to the elements ... -172 kJ/mol of formula units

Lattice parameters (Å, degrees): 8.2427 8.2427 8.2427 100.99 100.99 100.99
With the nearest neighbours (Å) after each atom.
Fractional positions:
Pb1 0.9151 0.3279 0.0553  3 Pd 2.78-3.09, 1 Ag 2.89
Pb2 0.6721 0.9447 0.0849  3 Pd 2.78-3.09, 1 Ag 2.89
Pb3 0.9447 0.0849 0.6721  3 Pd 2.78-3.09, 1 Ag 2.89
Pb4 0.1785 0.4292 0.5707  4 Pd 2.82-2.97
Pb5 0.8215 0.5708 0.4293  4 Pd 2.82-2.97
Pb6 0.0553 0.9151 0.3279  3 Pd 2.78-3.09, 1 Ag 2.89
Pb7 0.3279 0.0553 0.9151  3 Pd 2.78-3.09, 1 Ag 2.89
Pb8 0.4292 0.5707 0.1785  4 Pd 2.82-2.97
Pb9 0.5708 0.4293 0.8215  4 Pd 2.82-2.97
Pb10 0.0849 0.6721 0.9447  3 Pd 2.78-3.09, 1 Ag 2.89
Pb11 0.4293 0.8215 0.5708  4 Pd 2.82-2.97
Pb12 0.5707 0.1785 0.4292  4 Pd 2.82-2.97
Pd1 0.3026 0.1374 0.5975  7 Pb 2.78-3.09
Pd2 0.4025 0.6974 0.8626  7 Pb 2.78-3.09
Pd3 0.8626 0.4025 0.6974  7 Pb 2.78-3.09
Pd4 0.5975 0.3026 0.1374  7 Pb 2.78-3.09
Pd5 0.6974 0.8626 0.4025  7 Pb 2.78-3.09
Pd6 0.1374 0.5975 0.3026  7 Pb 2.78-3.09
Ag1 0.0000 0.0000 0.0000  6 Pb 2.89

---

VASP calculation (GGA-PBE) on crystalline SbTeBr2 at its relaxed geometry.

## Properties
Symmetry ... R-3m
Distance to the lowest polymorph of the same formula ... 345 meV/atom
Magnetic moment ... 0.000 μB per cell
DFT total energy ... -2.60 eV per atom
Calculated density ... 5.82 Mg/m³

Lattice parameters (Å, degrees): 10.7024 10.7024 10.7024 19.27 19.27 19.27
With the nearest neighbours (Å) after each atom.
Fractional positions:
Br1 0.9101 0.9101 0.9101  1 Te 2.83
Br2 0.0899 0.0899 0.0899  1 Te 2.83
Te1 0.0000 0.0000 0.0000  2 Br 2.83
Sb1 0.5000 0.5000 0.5000  6 Br 3.18

---

VASP calculation (GGA-PBE) on crystalline Hg2SeIO at its relaxed geometry.

## Properties
Symmetry ... P4/mmm
Magnetic moment ... 1.712 μB per cell
DFT total energy ... -1.53 eV per atom
Calculated density ... 5.79 Mg/m³

Lattice parameters (Å, degrees): 5.5470 5.5470 5.8065 90.00 90.00 90.00
With the nearest neighbours (Å) after each atom.
Fractional positions:
Se1 0.0000 0.0000 0.0000  4 Hg 2.77, 2 I 2.90
I1 0.0000 0.0000 0.5000  2 Se 2.90
Hg1 0.0000 0.5000 0.0000  2 Se 2.77
Hg2 0.5000 0.0000 0.0000  2 Se 2.77
O1 0.5000 0.5000 0.5000  4 I 3.92, 8 Hg 4.02